The following is a DFT calculation (GGA+U) of an optimized crystal structure of Na2CoPbF6.

Structure (CIF):
```
data_Na2CoPbF6
_chemical_formula_sum 'Na2 Co1 Pb1 F6'
_space_group_name_H-M_alt 'P 4 m m'
_space_group_IT_number 99
_cell_length_a 6.037
_cell_length_b 6.037
_cell_length_c 4.836
_cell_angle_alpha 90.00
_cell_angle_beta 90.00
_cell_angle_gamma 90.00
loop_
_space_group_symop_operation_xyz
'x,y,z'
'-y,x,z'
'-x,-y,z'
'y,-x,z'
'-x,y,z'
'y,x,z'
'x,-y,z'
'-y,-x,z'
loop_
_atom_site_label
_atom_site_type_symbol
_atom_site_fract_x
_atom_site_fract_y
_atom_site_fract_z
Na1 Na 0.000 0.500 0.000
Co1 Co 0.000 0.000 0.696
Pb1 Pb 0.500 0.500 0.617
F1 F 0.000 0.000 0.272
F2 F 0.231 0.231 0.768
F3 F 0.500 0.500 0.109
```

DFT total energy	-45.77	eV/f.u.
density of states at the Fermi level	0.0	states/eV/cell